# CaCrIN2

CaCrIN2 after structural relaxation (PBE-GGA, Alexandria via LeMat-Bulk).

Cell lengths 3.9755, 3.9755, 5.3546 Å; angles 90.00, 90.00, 90.00 degrees
With the nearest neighbours (Å) after each atom.
Fractional positions:
N: 0.0000 0.5000 0.0000  2 Cr 1.99
N: 0.5000 0.0000 0.0000  2 Cr 1.99
I: 0.0000 0.0000 0.5000  2 Cr 2.68, 4 Ca 2.81
Cr: 0.0000 0.0000 0.0000  4 N 1.99
Ca: 0.5000 0.5000 0.5000  4 I 2.81

Computed properties:
Its formation energy (no corrections) is 0.21 eV per atom. As for the total energy: -5.7508 eV/atom.